A plane-wave DFT calculation with PBE was carried out for crystalline Ac2La3TbTe6 at its relaxed geometry.

Output
E_form (uncorrected)   -34.7 kcal/mol of atoms
Density of states at the Fermi level   7.6 states/eV per cell
Total magnetization   0.00 Bohr magnetons per cell
Symmetry   C2/m (12)
E_tot   -5.378 eV/atom

abc: 7.980 7.980 7.965
angles: 99.65 99.65 120.21
Sites, in units of the cell vectors:
Ac 0.165 0.835 0.000
Ac 0.835 0.165 0.000
La 0.000 0.000 0.500
La 0.325 0.675 0.500
La 0.675 0.325 0.500
Tb 0.500 0.500 0.000
Te 0.100 0.419 0.752
Te 0.268 0.268 0.257
Te 0.419 0.100 0.752
Te 0.581 0.900 0.248
Te 0.732 0.732 0.743
Te 0.900 0.581 0.248